First-principles (PBE) data for a relaxed structure of Ba3AuBr2, as listed in the Alexandria database.

```
6
Lattice="-1.5526 -4.2552 1.1983 -1.6825 -0.6037 -4.3311 11.2707 -1.9758 -1.5698" Properties=species:S:1:pos:R:3 pbc="T T T"
Au 8.4427 -3.8374 -2.7389
Br 3.1221 -4.5770 -3.1020
Br 2.4934 -1.1225 -0.8057
Ba 5.5234 -2.5052 -1.7901
Ba 6.8251 -6.2672 -4.3046
Ba 0.0916 -3.1939 -2.1173
```

The value obtained for the total energy is -3.35 eV/atom. Its uncorrected formation energy is -124.4 kJ per mole of atoms. The space group is I4/mmm.

=====

First-principles (PBE) data for a relaxed structure of AcPm4Er2, as listed in the Alexandria database.

```
7
Lattice="1.4499 -2.6775 -6.3108 -4.7156 -2.6105 4.1127 -5.6215 5.8309 2.6565" Properties=species:S:1:pos:R:3 pbc="T T T"
Er -6.0139 2.1288 2.0444
Er -2.8733 -1.5859 -1.5859
Pm -3.0118 1.7844 -0.1397
Pm -2.3578 -1.3053 2.0564
Pm 0.7250 -1.3387 -3.1554
Pm -5.8753 -1.2415 0.5981
Ac 0.0000 0.0000 0.0000
```

The value obtained for the total energy is -4.37 eV/atom. The space group is P-1. The relative energy among the computed polymorphs comes out at 14 meV/atom.

=====

First-principles (PBE) data for a relaxed structure of BeSnO2, as listed in the Alexandria database.

```
4
Lattice="-2.2754 -3.2848 0.5793 -4.0251 0.2796 -0.1528 -2.0208 -1.6274 -3.0937" Properties=species:S:1:pos:R:3 pbc="T T T"
O -6.2410 -3.4744 -2.0004
Sn -4.1607 -2.3163 -1.3336
Be 0.0000 0.0000 0.0000
O -2.0803 -1.1581 -0.6668
```

The value obtained for the total energy is -4.64 eV/atom. Its uncorrected formation energy is -22.3 kJ per mole of atoms. The space group is Fm-3m. The relative energy among the computed polymorphs comes out at 1387 meV/atom.

=====

First-principles (PBE) data for a relaxed structure of NdVSe, as listed in the Alexandria database.

```
6
Lattice="3.9952 -0.0673 0.6248 -0.0867 3.9949 0.6248 -0.3065 -0.3080 8.8525" Properties=species:S:1:pos:R:3 pbc="T T T"
V 0.4748 0.4771 4.0991
Se 2.8109 2.8246 8.5999
V 3.1272 3.1424 6.0031
Se 0.7911 0.7949 1.5022
Nd 2.6281 2.6409 2.8993
Nd 0.9740 0.9787 7.2028
```

The value obtained for the total energy is -6.50 eV/atom. Its uncorrected formation energy is -68.6 kJ per mole of atoms. The space group is C2/m.

=====

First-principles (PBE) data for a relaxed structure of Te3Pb, as listed in the Alexandria database.

```
4
Lattice="6.0941 -0.0050 -0.0090 -0.3606 6.0834 0.0090 -1.3975 -4.4250 3.9502" Properties=species:S:1:pos:R:3 pbc="T T T"
Te 1.4093 1.5094 2.7109
Te 4.6695 -1.5000 2.7019
Pb 0.0893 -0.0842 0.0749
Te 1.2025 -1.1343 3.7264
```

The value obtained for the total energy is -3.38 eV/atom. Its uncorrected formation energy is -9.0 kJ per mole of atoms. The space group is Imm2.

=====

First-principles (PBE) data for a relaxed structure of Y4SeS5, as listed in the Alexandria database.

```
10
Lattice="4.0041 0.0000 0.0000 0.0000 8.1049 -0.6873 -2.0021 -1.8918 8.4155" Properties=species:S:1:pos:R:3 pbc="T T T"
S 2.0021 -0.3049 5.6261
S 0.0000 2.0792 2.5082
Y 2.0021 0.3683 3.0203
Y 0.0000 5.8449 4.7080
Y 0.0000 2.1673 -0.1158
S 2.0021 4.0525 -0.3436
Y 2.0021 4.0459 7.8440
Se 2.0021 0.0000 0.0000
S 0.0000 6.5181 2.1021
S 2.0021 4.1340 5.2200
```

The value obtained for the total energy is -6.98 eV/atom. Its uncorrected formation energy is -191.0 kJ per mole of atoms. The space group is C2/m.

=====

First-principles (PBE) data for a relaxed structure of InSiMo3, as listed in the Alexandria database.

```
5
Lattice="-4.4386 1.2007 -1.5560 -1.8895 -3.6641 2.5628 -0.5406 2.9490 3.8177" Properties=species:S:1:pos:R:3 pbc="T T T"
Mo -2.2193 0.6003 -0.7780
Si -3.4344 0.2428 2.4123
Mo -0.9448 -1.8321 1.2814
Mo -0.2703 1.4745 1.9089
In 0.0000 0.0000 0.0000
```

The value obtained for the total energy is -5.58 eV/atom. Its uncorrected formation energy is 246.0 kJ per mole of atoms. The space group is Pm-3m.

=====

First-principles (PBE) data for a relaxed structure of NdZnCd2Pd2, as listed in the Alexandria database.

```
6
Lattice="5.3213 0.0000 0.0000 0.0000 5.3213 0.0000 -2.6606 -2.6606 5.2352" Properties=species:S:1:pos:R:3 pbc="T T T"
Pd 2.6606 2.6606 2.8112
Nd 2.6606 2.6606 0.0000
Cd 2.6606 0.0000 2.6176
Zn 0.0000 0.0000 0.0000
Pd 0.0000 0.0000 2.4241
Cd 0.0000 2.6606 2.6176
```

The value obtained for the total energy is -3.21 eV/atom. The space group is I4/mmm.